This record from the Alexandria database describes a relaxed structure of Ce3NdPa2P6. The functional is PBE.

Unit cell a=7.021 b=7.021 c=7.033 alpha=99.58 beta=99.58 gamma=119.99
Fractional coordinates of all 12 atoms:
Ce: 0.000 0.000 0.000
Ce: 0.336 0.664 0.000
Ce: 0.664 0.336 0.000
Nd: 0.500 0.500 0.500
Pa: 0.167 0.833 0.500
Pa: 0.833 0.167 0.500
P: 0.075 0.418 0.256
P: 0.238 0.238 0.743
P: 0.418 0.075 0.256
P: 0.582 0.925 0.744
P: 0.762 0.762 0.257
P: 0.925 0.582 0.744

## Properties
* magnetization: 1.54 Bohr magnetons per cell
* E_form: -17.357 eV per formula unit
* VASP energy: -7.61 eV per atom
* calculated volume: 23.6 Å³/atom